## P
## Mn3BSb (GGA-PBE)

Data for a relaxed structure of Mn3BSb.

Lattice parameters (Å, degrees): 3.933 3.933 3.933 90.00 90.00 90.00
Positions (direct):
Mn 0.000 0.000 0.500
Mn 0.000 0.500 0.000
Mn 0.500 0.000 0.000
B 0.000 0.000 0.000
Sb 0.500 0.500 0.500

***

## Q
## Mn3BSb (GGA-PBE)

Data for a relaxed structure of Mn3BSb.

Lattice parameters (Å, degrees): 4.963 4.963 4.963 90.00 90.00 90.00
Positions (direct):
Mn 0.000 0.000 0.500
Mn 0.000 0.500 0.000
Mn 0.500 0.000 0.000
B 0.500 0.500 0.500
Sb 0.000 0.000 0.000

***

Best to worst by energy: P, Q.

***

## P
## MnBSb3 (GGA-PBE)

Data for a relaxed structure of MnBSb3.

Lattice parameters (Å, degrees): 4.890 4.890 4.890 90.00 90.00 90.00
Positions (direct):
Mn 0.000 0.000 0.000
B 0.500 0.500 0.500
Sb 0.000 0.000 0.500
Sb 0.000 0.500 0.000
Sb 0.500 0.000 0.000

***

## Q
## MnBSb3 (GGA-PBE)

Data for a relaxed structure of MnBSb3.

Lattice parameters (Å, degrees): 4.725 4.725 4.725 90.00 90.00 90.00
Positions (direct):
Mn 0.000 0.000 0.000
B 0.500 0.500 0.500
Sb 0.000 0.500 0.500
Sb 0.500 0.000 0.500
Sb 0.500 0.500 0.000

***

Best to worst by energy: P, Q.

***

## P
## Sc2MnTlB (GGA-PBE)

Data for a relaxed structure of Sc2MnTlB.

Lattice parameters (Å, degrees): 4.668 4.668 4.968 90.00 90.00 90.00
Positions (direct):
Sc 0.000 0.500 0.000
Sc 0.500 0.000 0.000
Mn 0.000 0.000 0.000
Tl 0.000 0.000 0.500
B 0.500 0.500 0.500

***

## Q
## Sc2MnTlB (GGA-PBE)

Data for a relaxed structure of Sc2MnTlB.

Lattice parameters (Å, degrees): 4.697 4.697 4.056 90.00 90.00 90.00
Positions (direct):
Sc 0.000 0.500 0.000
Sc 0.500 0.000 0.000
Mn 0.000 0.000 0.500
Tl 0.500 0.500 0.500
B 0.000 0.000 0.000

***

Best to worst by energy: Q, P.

***

## P
## MnSi3B (GGA-PBE)

Data for a relaxed structure of MnSi3B.

Lattice parameters (Å, degrees): 4.005 4.005 4.005 90.00 90.00 90.00
Positions (direct):
Mn 0.000 0.000 0.000
Si 0.000 0.500 0.500
Si 0.500 0.000 0.500
Si 0.500 0.500 0.000
B 0.500 0.500 0.500

***

## Q
## MnSi3B (GGA-PBE)

Data for a relaxed structure of MnSi3B.

Lattice parameters (Å, degrees): 4.351 4.351 4.351 90.00 90.00 90.00
Positions (direct):
Mn 0.000 0.000 0.000
Si 0.000 0.000 0.500
Si 0.000 0.500 0.000
Si 0.500 0.000 0.000
B 0.500 0.500 0.500

***

Best to worst by energy: P, Q.

***

## P
## MnVSiB (GGA-PBE)

Data for a relaxed structure of MnVSiB.

Lattice parameters (Å, degrees): 7.943 2.934 4.327 90.00 122.65 90.00
Positions (direct):
Mn 0.000 0.000 0.000
Mn 0.500 0.500 0.000
V 0.397 0.000 0.391
V 0.897 0.500 0.391
Si 0.202 0.000 0.665
Si 0.702 0.500 0.665
B 0.192 0.500 0.984
B 0.692 0.000 0.984

***

## Q
## MnVSiB (GGA-PBE)

Data for a relaxed structure of MnVSiB.

Lattice parameters (Å, degrees): 2.921 4.252 4.255 62.76 69.95 70.12
Positions (direct):
Mn 0.000 0.000 0.000
V 0.818 0.631 0.732
Si 0.208 0.249 0.335
B 0.500 0.694 0.305

***

## R
## MnVSiB (GGA-PBE)

Data for a relaxed structure of MnVSiB.

Lattice parameters (Å, degrees): 8.178 2.817 4.331 90.00 118.53 90.00
Positions (direct):
Mn 0.000 0.000 0.000
Mn 0.500 0.500 0.000
V 0.115 0.500 0.608
V 0.615 0.000 0.608
Si 0.308 0.000 0.119
Si 0.808 0.500 0.119
B 0.335 0.000 0.618
B 0.835 0.500 0.618

***

## S
## MnVSiB (GGA-PBE)

Data for a relaxed structure of MnVSiB.

Lattice parameters (Å, degrees): 3.563 3.563 12.381 90.00 90.00 120.00
Positions (direct):
Mn 0.000 0.000 0.000
Mn 0.333 0.667 0.667
Mn 0.667 0.333 0.333
V 0.000 0.000 0.776
V 0.333 0.667 0.442
V 0.667 0.333 0.109
Si 0.000 0.000 0.570
Si 0.333 0.667 0.237
Si 0.667 0.333 0.903
B 0.000 0.000 0.178
B 0.333 0.667 0.845
B 0.667 0.333 0.512

***

Best to worst by energy: P, R, Q, S.

***

## P
## MnVSiB (GGA-PBE)

Data for a relaxed structure of MnVSiB.

Lattice parameters (Å, degrees): 2.776 2.776 5.424 90.00 90.00 90.00
Positions (direct):
Mn 0.000 0.000 0.000
V 0.500 0.500 0.716
Si 0.000 0.000 0.422
B 0.500 0.500 0.155

***

## Q
## MnVSiB (GGA-PBE)

Data for a relaxed structure of MnVSiB.

Lattice parameters (Å, degrees): 2.836 2.709 10.974 90.00 90.00 90.00
Positions (direct):
Mn 0.000 0.000 0.000
Mn 0.000 0.500 0.500
V 0.000 0.000 0.281
V 0.000 0.500 0.781
Si 0.500 0.000 0.628
Si 0.500 0.500 0.128
B 0.500 0.000 0.429
B 0.500 0.500 0.929

***

Best to worst by energy: Q, P.

***

## P
## MnVSiB (GGA-PBE)

Data for a relaxed structure of MnVSiB.

Lattice parameters (Å, degrees): 2.866 2.866 5.029 90.00 90.00 90.00
Positions (direct):
Mn 0.000 0.000 0.000
V 0.500 0.500 0.278
Si 0.500 0.500 0.748
B 0.000 0.000 0.512

***

## Q
## MnVSiB (GGA-PBE)

Data for a relaxed structure of MnVSiB.

Lattice parameters (Å, degrees): 3.150 3.235 8.489 90.00 90.00 90.00
Positions (direct):
Mn 0.000 0.000 0.000
Mn 0.000 0.500 0.500
V 0.500 0.000 0.293
V 0.500 0.500 0.793
Si 0.500 0.000 0.578
Si 0.500 0.500 0.078
B 0.000 0.000 0.741
B 0.000 0.500 0.241

***

## R
## MnVSiB (GGA-PBE)

Data for a relaxed structure of MnVSiB.

Lattice parameters (Å, degrees): 2.864 4.124 4.526 67.07 71.82 69.88
Positions (direct):
Mn 0.000 0.000 0.000
V 0.824 0.759 0.594
Si 0.649 0.477 0.219
B 0.482 0.306 0.729

***

## S
## MnVSiB (GGA-PBE)

Data for a relaxed structure of MnVSiB.

Lattice parameters (Å, degrees): 8.132 2.786 3.941 90.00 102.03 90.00
Positions (direct):
Mn 0.000 0.000 0.000
Mn 0.500 0.500 0.000
V 0.160 0.500 0.571
V 0.660 0.000 0.571
Si 0.289 0.000 0.128
Si 0.789 0.500 0.128
B 0.429 0.500 0.482
B 0.929 0.000 0.482

***

Best to worst by energy: Q, S, P, R.

***

## P
## MnVSiB (GGA-PBE)

Data for a relaxed structure of MnVSiB.

Lattice parameters (Å, degrees): 3.080 3.080 16.337 90.00 90.00 120.00
Positions (direct):
Mn 0.000 0.000 0.000
Mn 0.333 0.667 0.667
Mn 0.667 0.333 0.333
V 0.000 0.000 0.200
V 0.333 0.667 0.866
V 0.667 0.333 0.533
Si 0.000 0.000 0.760
Si 0.333 0.667 0.427
Si 0.667 0.333 0.094
B 0.000 0.000 0.607
B 0.333 0.667 0.273
B 0.667 0.333 0.940

***

## Q
## MnVSiB (GGA-PBE)

Data for a relaxed structure of MnVSiB.

Lattice parameters (Å, degrees): 3.620 3.620 12.016 90.00 90.00 120.00
Positions (direct):
Mn 0.000 0.000 0.000
Mn 0.333 0.667 0.667
Mn 0.667 0.333 0.333
V 0.000 0.000 0.219
V 0.333 0.667 0.885
V 0.667 0.333 0.552
Si 0.000 0.000 0.431
Si 0.333 0.667 0.097
Si 0.667 0.333 0.764
B 0.000 0.000 0.611
B 0.333 0.667 0.278
B 0.667 0.333 0.944

***

Best to worst by energy: P, Q.

***

## P
## MnVSiB (GGA-PBE)

Data for a relaxed structure of MnVSiB.

Lattice parameters (Å, degrees): 2.751 3.507 4.486 90.00 99.99 90.00
Positions (direct):
Mn 0.000 0.000 0.000
V 0.590 0.000 0.472
Si 0.392 0.500 0.824
B 0.103 0.500 0.297

***

## Q
## MnVSiB (GGA-PBE)

Data for a relaxed structure of MnVSiB.

Lattice parameters (Å, degrees): 2.942 3.053 9.527 90.00 90.00 90.00
Positions (direct):
Mn 0.000 0.000 0.000
Mn 0.000 0.500 0.500
V 0.000 0.000 0.282
V 0.000 0.500 0.782
Si 0.500 0.000 0.616
Si 0.500 0.500 0.116
B 0.500 0.000 0.838
B 0.500 0.500 0.338

***

Best to worst by energy: Q, P.

***

## P
## TaMnB (GGA-PBE)

Data for a relaxed structure of TaMnB.

Lattice parameters (Å, degrees): 3.108 8.846 4.895 90.00 90.00 90.00
Positions (direct):
Ta 0.000 0.200 0.250
Ta 0.000 0.800 0.750
Ta 0.500 0.300 0.750
Ta 0.500 0.700 0.250
Mn 0.000 0.500 0.000
Mn 0.000 0.500 0.500
Mn 0.500 0.000 0.000
Mn 0.500 0.000 0.500
B 0.000 0.097 0.750
B 0.000 0.903 0.250
B 0.500 0.403 0.250
B 0.500 0.597 0.750

***

## Q
## TaMnB (GGA-PBE)

Data for a relaxed structure of TaMnB.

Lattice parameters (Å, degrees): 10.570 3.099 6.124 90.00 90.00 90.00
Positions (direct):
Ta 0.047 0.000 0.243
Ta 0.250 0.000 0.857
Ta 0.453 0.000 0.243
Ta 0.547 0.000 0.757
Ta 0.750 0.000 0.143
Ta 0.953 0.000 0.757
Mn 0.127 0.500 0.576
Mn 0.250 0.500 0.207
Mn 0.373 0.500 0.576
Mn 0.627 0.500 0.424
Mn 0.750 0.500 0.793
Mn 0.873 0.500 0.424
B 0.086 0.500 0.950
B 0.250 0.000 0.454
B 0.414 0.500 0.950
B 0.586 0.500 0.050
B 0.750 0.000 0.546
B 0.914 0.500 0.050

***

Best to worst by energy: Q, P.

***

## P
## Ta2MnB (GGA-PBE)

Data for a relaxed structure of Ta2MnB.

Lattice parameters (Å, degrees): 3.117 3.117 20.173 90.00 90.00 120.00
Positions (direct):
Ta 0.000 0.000 0.234
Ta 0.000 0.000 0.766
Ta 0.333 0.667 0.433
Ta 0.333 0.667 0.900
Ta 0.667 0.333 0.100
Ta 0.667 0.333 0.567
Mn 0.000 0.000 0.000
Mn 0.333 0.667 0.667
Mn 0.667 0.333 0.333
B 0.000 0.000 0.500
B 0.333 0.667 0.167
B 0.667 0.333 0.833

***

## Q
## Ta2MnB (GGA-PBE)

Data for a relaxed structure of Ta2MnB.

Lattice parameters (Å, degrees): 6.715 6.715 5.222 90.00 90.00 90.00
Positions (direct):
Ta 0.206 0.250 0.125
Ta 0.250 0.706 0.375
Ta 0.250 0.794 0.875
Ta 0.294 0.250 0.625
Ta 0.706 0.750 0.625
Ta 0.750 0.206 0.875
Ta 0.750 0.294 0.375
Ta 0.794 0.750 0.125
Mn 0.000 0.000 0.500
Mn 0.000 0.500 0.750
Mn 0.500 0.000 0.250
Mn 0.500 0.500 0.000
B 0.000 0.000 0.000
B 0.000 0.500 0.250
B 0.500 0.000 0.750
B 0.500 0.500 0.500

***

Best to worst by energy: P, Q.